No. 1
SrMo2Pt at its PBEsol-relaxed geometry, computed with SCAN.

## Properties
Distance to the lowest polymorph of the same formula in eV/atom: 0.213
Crystal system: cubic

Geometry as CIF:
```
data_SrMo2Pt
_cell_length_a 6.588
_cell_length_b 6.588
_cell_length_c 6.588
_cell_angle_alpha 90.00
_cell_angle_beta 90.00
_cell_angle_gamma 90.00
_symmetry_space_group_name_H-M 'F -4 3 m'
_symmetry_Int_Tables_number 216
_symmetry_space_group_name_Hall 'F -4 2 3'
loop_
_atom_site_label
_atom_site_type_symbol
_atom_site_fract_x
_atom_site_fract_y
_atom_site_fract_z
Sr1 Sr 0.000 0.000 0.000
Mo1 Mo 0.000 0.000 0.500
Mo2 Mo 0.250 0.250 0.250
Pt1 Pt 0.250 0.250 0.750
```

---

No. 2
K2AlPt at its PBEsol-relaxed geometry, computed with SCAN.

## Properties
Crystal system: orthorhombic

Geometry as CIF:
```
data_K2AlPt
_cell_length_a 5.589
_cell_length_b 10.778
_cell_length_c 3.057
_cell_angle_alpha 90.00
_cell_angle_beta 90.00
_cell_angle_gamma 90.00
_symmetry_space_group_name_H-M 'C m m m'
_symmetry_Int_Tables_number 65
_symmetry_space_group_name_Hall '-C 2 2'
loop_
_atom_site_label
_atom_site_type_symbol
_atom_site_fract_x
_atom_site_fract_y
_atom_site_fract_z
K1 K 0.250 0.250 0.000
Al1 Al 0.000 0.000 0.500
Pt1 Pt 0.000 0.500 0.500
```

---

No. 3
CsInO2 at its PBEsol-relaxed geometry, computed with SCAN.

## Properties
Crystal system: hexagonal
Formation energy from raw total energies in eV per atom: -1.617

Geometry as CIF:
```
data_CsInO2
_cell_length_a 3.4168
_cell_length_b 3.4168
_cell_length_c 13.2021
_cell_angle_alpha 90.00
_cell_angle_beta 90.00
_cell_angle_gamma 120.00
_symmetry_space_group_name_H-M 'P 63/m m c'
_symmetry_Int_Tables_number 194
_symmetry_space_group_name_Hall '-P 6c 2c'
loop_
_atom_site_label
_atom_site_type_symbol
_atom_site_fract_x
_atom_site_fract_y
_atom_site_fract_z
Cs1 Cs 0.3333 0.6667 0.2500
In1 In 0.0000 0.0000 0.0000
O1 O 0.3333 0.6667 0.5830
```

---

No. 4
AlZnFe2 at its PBEsol-relaxed geometry, computed with SCAN.

## Properties
Crystal system: orthorhombic

Geometry as CIF:
```
data_AlZnFe2
_cell_length_a 3.196
_cell_length_b 3.899
_cell_length_c 7.780
_cell_angle_alpha 90.00
_cell_angle_beta 90.00
_cell_angle_gamma 90.00
_symmetry_space_group_name_H-M 'I m m 2'
_symmetry_Int_Tables_number 44
loop_
_symmetry_equiv_pos_as_xyz
'x,y,z'
'-x,-y,z'
'-x,y,z'
'x,-y,z'
'x+1/2,y+1/2,z+1/2'
'-x+1/2,-y+1/2,z+1/2'
'-x+1/2,y+1/2,z+1/2'
'x+1/2,-y+1/2,z+1/2'
loop_
_atom_site_label
_atom_site_type_symbol
_atom_site_fract_x
_atom_site_fract_y
_atom_site_fract_z
Al1 Al 0.000 0.000 0.000
Zn1 Zn 0.000 0.500 0.241
Fe1 Fe 0.000 0.000 0.488
Fe2 Fe 0.000 0.500 0.754
```

---

No. 5
BaSi2Ag at its PBEsol-relaxed geometry, computed with SCAN.

## Properties
Crystal system: orthorhombic
Formation energy from raw total energies in eV per atom: 0.090

Geometry as CIF:
```
data_BaSi2Ag
_cell_length_a 3.249
_cell_length_b 3.874
_cell_length_c 6.961
_cell_angle_alpha 90.00
_cell_angle_beta 90.00
_cell_angle_gamma 90.00
_symmetry_space_group_name_H-M 'P m m m'
_symmetry_Int_Tables_number 47
loop_
_symmetry_equiv_pos_as_xyz
'x,y,z'
'-x,-y,-z'
'-x,-y,z'
'x,y,-z'
'x,-y,-z'
'-x,y,z'
'-x,y,-z'
'x,-y,z'
loop_
_atom_site_label
_atom_site_type_symbol
_atom_site_fract_x
_atom_site_fract_y
_atom_site_fract_z
Ba1 Ba 0.000 0.000 0.000
Si1 Si 0.500 0.500 0.329
Ag1 Ag 0.000 0.000 0.500
```

---

No. 6
Zn3PdBr at its PBEsol-relaxed geometry, computed with SCAN.

## Properties
Crystal system: cubic
Formation energy from raw total energies in eV per atom: 1.111

Geometry as CIF:
```
data_Zn3PdBr
_cell_length_a 4.831
_cell_length_b 4.831
_cell_length_c 4.831
_cell_angle_alpha 90.00
_cell_angle_beta 90.00
_cell_angle_gamma 90.00
_symmetry_space_group_name_H-M 'P m -3 m'
_symmetry_Int_Tables_number 221
_symmetry_space_group_name_Hall '-P 4 2 3'
loop_
_atom_site_label
_atom_site_type_symbol
_atom_site_fract_x
_atom_site_fract_y
_atom_site_fract_z
Zn1 Zn 0.000 0.000 0.500
Pd1 Pd 0.500 0.500 0.500
Br1 Br 0.000 0.000 0.000
```

---

No. 7
Mg2CuAu2 at its PBEsol-relaxed geometry, computed with SCAN.

## Properties
Crystal system: tetragonal

Geometry as CIF:
```
data_Mg2CuAu2
_cell_length_a 3.886
_cell_length_b 3.886
_cell_length_c 12.310
_cell_angle_alpha 90.00
_cell_angle_beta 90.00
_cell_angle_gamma 90.00
_symmetry_space_group_name_H-M 'I 4/m m m'
_symmetry_Int_Tables_number 139
_symmetry_space_group_name_Hall '-I 4 2'
loop_
_atom_site_label
_atom_site_type_symbol
_atom_site_fract_x
_atom_site_fract_y
_atom_site_fract_z
Mg1 Mg 0.000 0.500 0.250
Cu1 Cu 0.000 0.000 0.000
Au1 Au 0.000 0.000 0.395
```

---

No. 8
AlHgAsSe2 at its PBEsol-relaxed geometry, computed with SCAN.

## Properties
Distance to the lowest polymorph of the same formula in eV/atom: 0.567
Crystal system: tetragonal
Formation energy from raw total energies in eV per atom: 0.843

Geometry as CIF:
```
data_AlHgAsSe2
_cell_length_a 5.212
_cell_length_b 5.212
_cell_length_c 5.107
_cell_angle_alpha 90.00
_cell_angle_beta 90.00
_cell_angle_gamma 90.00
_symmetry_space_group_name_H-M 'P 4/m m m'
_symmetry_Int_Tables_number 123
_symmetry_space_group_name_Hall '-P 4 2'
loop_
_atom_site_label
_atom_site_type_symbol
_atom_site_fract_x
_atom_site_fract_y
_atom_site_fract_z
Al1 Al 0.000 0.000 0.000
Hg1 Hg 0.500 0.500 0.500
As1 As 0.500 0.500 0.000
Se1 Se 0.000 0.500 0.500
```

---

Calculated total energy for the records above, in order: -39.972 -23.377 -22.532 -14.537 -22.647 -17.445 -32.815 -26.410 eV per atom